Record 1
Ca2YCl: optimized geometry, PBE-GGA.

Structure (POSCAR):
```
Ca2YCl
1.0
8.855 0.000 0.000
0.000 8.855 0.000
0.000 0.000 6.899
Ca Y Cl
8 4 4
Direct
0.170 0.250 0.125
0.250 0.670 0.375
0.250 0.830 0.875
0.330 0.250 0.625
0.670 0.750 0.625
0.750 0.170 0.875
0.750 0.330 0.375
0.830 0.750 0.125
0.000 0.000 0.500
0.000 0.500 0.750
0.500 0.000 0.250
0.500 0.500 0.000
0.000 0.000 0.000
0.000 0.500 0.250
0.500 0.000 0.750
0.500 0.500 0.500
```

- ΔE_f (raw) (meV/atom) = -414

=====

Record 2
Ca2YCl: optimized geometry, PBE-GGA.

Structure (POSCAR):
```
Ca2YCl
1.0
3.998 0.000 0.000
0.000 6.158 0.000
0.000 0.000 10.209
Ca Y Cl
4 2 2
Direct
0.000 0.000 0.216
0.000 0.000 0.784
0.500 0.500 0.216
0.500 0.500 0.784
0.000 0.500 0.500
0.500 0.000 0.500
0.000 0.500 0.000
0.500 0.000 0.000
```

- ΔE_f (raw) (meV/atom) = -735

=====

Record 3
CaYCl3: optimized geometry, PBE-GGA.

Structure (POSCAR):
```
CaYCl3
1.0
5.336 0.000 0.000
0.000 5.336 0.000
0.000 0.000 5.336
Ca Y Cl
1 1 3
Direct
0.000 0.000 0.000
0.500 0.500 0.500
0.000 0.000 0.500
0.000 0.500 0.000
0.500 0.000 0.000
```

- ΔE_f (raw) (meV/atom) = -1318

=====

Record 4
Ca2YCl: optimized geometry, PBE-GGA.

Structure (POSCAR):
```
Ca2YCl
1.0
3.805 0.000 0.000
0.000 3.619 0.000
-0.023 0.000 9.851
Ca Y Cl
2 1 1
Direct
0.001 0.000 0.272
0.999 0.000 0.728
0.500 0.500 0.000
0.000 0.500 0.500
```

- ΔE_f (raw) (meV/atom) = -734

=====

Record 5
CaYCl2: optimized geometry, PBE-GGA.

Structure (POSCAR):
```
CaYCl2
1.0
3.517 0.000 0.000
0.000 6.847 0.000
0.000 0.000 9.136
Ca Y Cl
2 2 4
Direct
0.000 0.000 0.000
0.500 0.500 0.500
0.000 0.000 0.500
0.500 0.500 0.000
0.000 0.500 0.239
0.000 0.500 0.761
0.500 0.000 0.261
0.500 0.000 0.739
```

- ΔE_f (raw) (meV/atom) = -1287

=====

Record 6
CaYCl2: optimized geometry, PBE-GGA.

Structure (POSCAR):
```
CaYCl2
1.0
3.803 0.000 0.000
0.000 4.539 0.000
-0.549 0.000 6.317
Ca Y Cl
1 1 2
Direct
0.000 0.000 0.000
0.500 0.000 0.500
0.294 0.500 0.252
0.706 0.500 0.748
```

- ΔE_f (raw) (meV/atom) = -1280